# 1
This record from Alexandria via LeMat-Bulk describes a crystal of ScIrBr2 relaxed with PBEsol. The functional is meta-GGA SCAN.

The space group is P4mm (No. 99) and the conventional cell measures 3.1376, 3.1376 and 8.5694 Å, with angles of 90.00, 90.00 and 90.00 degrees. Symmetry generates all atoms from Sc at (0.0000, 0.0000, 0.0000), Ir at (0.5000, 0.5000, 0.1942), Br at (0.0000, 0.0000, 0.4092) and Br at (0.5000, 0.5000, 0.7901).

For the formation energy from raw total energies, the calculation gives -46 kJ per mole of atoms. For the energy, the calculation gives -126.171 eV/cell. The value obtained for the total magnetization is 0.000 μB/f.u.

=====

# 2
This record from Alexandria via LeMat-Bulk describes a crystal of Sc2IrBr relaxed with PBEsol. The functional is meta-GGA SCAN.

The space group is R-3m (No. 166, hexagonal axes) and the conventional cell measures 3.7677, 3.7677 and 21.0382 Å, with angles of 90.00, 90.00 and 120.00 degrees. Symmetry generates all atoms from Sc at (0.0000, 0.0000, 0.2317), Ir at (0.0000, 0.0000, 0.5000) and Br at (0.0000, 0.0000, 0.0000).

For the formation energy from raw total energies, the calculation gives -111 kJ per mole of atoms. For the energy, the calculation gives -370.857 eV/cell. The value obtained for the total magnetization is 0.000 μB/f.u.

=====

# 3
This record from Alexandria via LeMat-Bulk describes a crystal of Sc2IrBr relaxed with PBEsol. The functional is meta-GGA SCAN.

The space group is I-4m2 (No. 119) and the conventional cell measures 3.7671, 3.7671 and 10.2971 Å, with angles of 90.00, 90.00 and 90.00 degrees. Symmetry generates all atoms from Sc at (0.0000, 0.0000, 0.0000), Sc at (0.0000, 0.5000, 0.2500), Ir at (0.0000, 0.5000, 0.7500) and Br at (0.0000, 0.0000, 0.5000).

For the formation energy from raw total energies, the calculation gives -50 kJ per mole of atoms. For the energy, the calculation gives -242.227 eV/cell. The value obtained for the total magnetization is 0.000 μB/f.u.

=====

# 4
This record from Alexandria via LeMat-Bulk describes a crystal of ScIrBr2 relaxed with PBEsol. The functional is meta-GGA SCAN.

The space group is F-43m (No. 216) and the conventional cell measures 6.7202, 6.7202 and 6.7202 Å, with angles of 90.00, 90.00 and 90.00 degrees. Symmetry generates all atoms from Sc at (0.0000, 0.0000, 0.0000), Ir at (0.2500, 0.2500, 0.7500), Br at (0.0000, 0.0000, 0.5000) and Br at (0.2500, 0.2500, 0.2500).

For the formation energy from raw total energies, the calculation gives 18 kJ per mole of atoms. For the energy, the calculation gives -494.049 eV/cell. The value obtained for the total magnetization is 0.000 μB/f.u.

=====

# 5
This record from Alexandria via LeMat-Bulk describes a crystal of Sc2IrBr relaxed with PBEsol. The functional is meta-GGA SCAN.

The space group is Pmmm (No. 47) and the conventional cell measures 3.1166, 3.2231 and 7.6909 Å, with angles of 90.00, 90.00 and 90.00 degrees. Symmetry generates all atoms from Sc at (0.0000, 0.0000, 0.2092), Ir at (0.5000, 0.5000, 0.0000) and Br at (0.5000, 0.5000, 0.5000).

For the formation energy from raw total energies, the calculation gives -98 kJ per mole of atoms. For the energy, the calculation gives -123.076 eV/cell. The value obtained for the total magnetization is 0.000 μB/f.u.

=====

# 6
This record from Alexandria via LeMat-Bulk describes a crystal of IrSeBr relaxed with PBEsol. The functional is meta-GGA SCAN.

The space group is P3m1 (No. 156) and the conventional cell measures 3.6367, 3.6367 and 5.9106 Å, with angles of 90.00, 90.00 and 120.00 degrees. Symmetry generates all atoms from Ir at (0.0000, 0.0000, 0.0000), Se at (0.6667, 0.3333, 0.7924) and Br at (0.3333, 0.6667, 0.2596).

For the formation energy from raw total energies, the calculation gives -31 kJ per mole of atoms. For the energy, the calculation gives -111.614 eV/cell. The value obtained for the total magnetization is 0.000 μB/f.u.

=====

# 7
This record from Alexandria via LeMat-Bulk describes a crystal of Ir2SeBr relaxed with PBEsol. The functional is meta-GGA SCAN.

The space group is I-4m2 (No. 119) and the conventional cell measures 3.7999, 3.7999 and 8.9228 Å, with angles of 90.00, 90.00 and 90.00 degrees. Symmetry generates all atoms from Ir at (0.0000, 0.0000, 0.0000), Ir at (0.0000, 0.5000, 0.2500), Se at (0.0000, 0.0000, 0.5000) and Br at (0.0000, 0.5000, 0.7500).

For the formation energy from raw total energies, the calculation gives 124 kJ per mole of atoms. For the energy, the calculation gives -353.176 eV/cell. The value obtained for the total magnetization is 0.000 μB/f.u.

=====

# 8
This record from Alexandria via LeMat-Bulk describes a crystal of IrSeBr relaxed with PBEsol. The functional is meta-GGA SCAN.

The space group is I4mm (No. 107) and the conventional cell measures 3.1158, 3.1158 and 12.3882 Å, with angles of 90.00, 90.00 and 90.00 degrees. Symmetry generates all atoms from Ir at (0.0000, 0.0000, 0.0000), Se at (0.0000, 0.0000, 0.6006) and Br at (0.0000, 0.0000, 0.3400).

For the formation energy from raw total energies, the calculation gives 39 kJ per mole of atoms. For the energy, the calculation gives -218.866 eV/cell. The value obtained for the total magnetization is 0.000 μB/f.u.

=====

# 9
This record from Alexandria via LeMat-Bulk describes a crystal of Ir2SeBr relaxed with PBEsol. The functional is meta-GGA SCAN.

The space group is I4/mmm (No. 139) and the conventional cell measures 4.3070, 4.3070 and 6.8683 Å, with angles of 90.00, 90.00 and 90.00 degrees. Symmetry generates all atoms from Ir at (0.0000, 0.5000, 0.2500), Se at (0.0000, 0.0000, 0.0000) and Br at (0.0000, 0.0000, 0.5000).

For the formation energy from raw total energies, the calculation gives 115 kJ per mole of atoms. For the energy, the calculation gives -353.959 eV/cell. The value obtained for the total magnetization is 0.000 μB/f.u.

=====

# 10
This record from Alexandria via LeMat-Bulk describes a crystal of IrSeBr3 relaxed with PBEsol. The functional is meta-GGA SCAN.

The space group is Pm-3m (No. 221) and the conventional cell measures 4.9501, 4.9501 and 4.9501 Å, with angles of 90.00, 90.00 and 90.00 degrees. Symmetry generates all atoms from Ir at (0.0000, 0.0000, 0.0000), Se at (0.5000, 0.5000, 0.5000) and Br at (0.0000, 0.0000, 0.5000).

For the formation energy from raw total energies, the calculation gives 55 kJ per mole of atoms. For the energy, the calculation gives -146.691 eV/cell. The value obtained for the total magnetization is 2.027 μB/f.u.

=====

# 11
This record from Alexandria via LeMat-Bulk describes a crystal of Ir2SeBr relaxed with PBEsol. The functional is meta-GGA SCAN.

The space group is Cmm2 (No. 35) and the conventional cell measures 2.8005, 5.1183 and 9.7864 Å, with angles of 90.00, 90.00 and 90.00 degrees. Symmetry generates all atoms from Ir at (0.0000, 0.0000, 0.0000), Ir at (0.0000, 0.5000, 0.2264), Se at (0.0000, 0.0000, 0.4441) and Br at (0.0000, 0.5000, 0.7726).

For the formation energy from raw total energies, the calculation gives 69 kJ per mole of atoms. For the energy, the calculation gives -357.726 eV/cell. The value obtained for the total magnetization is 0.000 μB/f.u.

=====

# 12
This record from Alexandria via LeMat-Bulk describes a crystal of Ir2SeBr relaxed with PBEsol. The functional is meta-GGA SCAN.

The space group is Pmmm (No. 47) and the conventional cell measures 2.8489, 4.4423 and 5.1431 Å, with angles of 90.00, 90.00 and 90.00 degrees. Symmetry generates all atoms from Ir at (0.0000, 0.0000, 0.0000), Ir at (0.5000, 0.0000, 0.5000), Se at (0.0000, 0.5000, 0.5000) and Br at (0.5000, 0.5000, 0.0000).

For the formation energy from raw total energies, the calculation gives 106 kJ per mole of atoms. For the energy, the calculation gives -177.361 eV/cell. The value obtained for the total magnetization is 0.000 μB/f.u.